Entry from Alexandria: crystalline LiZrRe3 at its relaxed geometry (PBE).

Results
Energy above the lowest structure with this stoichiometry   0.000 eV/atom
E_form   1006 meV per atom

```
data_LiZrRe3
_cell_length_a 4.258
_cell_length_b 4.258
_cell_length_c 4.258
_cell_angle_alpha 90.00
_cell_angle_beta 90.00
_cell_angle_gamma 90.00
_symmetry_space_group_name_H-M 'P m -3 m'
_symmetry_Int_Tables_number 221
_symmetry_space_group_name_Hall '-P 4 2 3'
loop_
_atom_site_label
_atom_site_type_symbol
_atom_site_fract_x
_atom_site_fract_y
_atom_site_fract_z
Li1 Li 0.000 0.000 0.000
Zr1 Zr 0.500 0.500 0.500
Re1 Re 0.000 0.000 0.500
```



Entry from Alexandria: crystalline Nd6Y8Mg at its relaxed geometry (PBE).

Results
E_form   119 meV per atom

```
data_Nd6Y8Mg
_cell_length_a 9.6145
_cell_length_b 9.6145
_cell_length_c 6.3021
_cell_angle_alpha 90.00
_cell_angle_beta 90.00
_cell_angle_gamma 120.00
_symmetry_space_group_name_H-M 'P -3'
_symmetry_Int_Tables_number 147
loop_
_symmetry_equiv_pos_as_xyz
'x,y,z'
'-x,-y,-z'
'-y,x-y,z'
'y,-x+y,-z'
'-x+y,-x,z'
'x-y,x,-z'
loop_
_atom_site_label
_atom_site_type_symbol
_atom_site_fract_x
_atom_site_fract_y
_atom_site_fract_z
Nd1 Nd 0.0895 0.4532 0.1910
Y1 Y 0.0382 0.2634 0.6932
Y2 Y 0.3333 0.6667 0.6796
Mg1 Mg 0.0000 0.0000 0.0000
```